! Si3Rh | Alexandria via LeMat-Bulk | GGA-PBE | relaxed; values from VASP
&SYSTEM
  ibrav = 0, nat = 8, ntyp = 2
/
ATOMIC_SPECIES
Si 28.09 Si.upf
Rh 102.91 Rh.upf
ATOMIC_POSITIONS angstrom
Si 0.000 1.210 2.419
Si 0.000 3.629 2.419
Si 1.210 2.419 0.000
Si 2.419 0.000 1.210
Si 2.419 0.000 3.629
Si 3.629 2.419 0.000
Rh 0.000 0.000 0.000
Rh 2.419 2.419 2.419
CELL_PARAMETERS angstrom
4.839 0.000 0.000
0.000 4.839 0.000
0.000 0.000 4.839
! VASP energy (eV/atom): -5.7975
! SG: Pm-3n, No. 223
! Uncorrected formation energy (meV per atom): 108